GGA-PBE CaPa2ZnO8, optimized geometry; V = 156.9 Å³ per cell; E_form (uncorrected) = -2.698 eV/atom; D(E_F) = 7.7 states/eV/f.u.
1.0
3.792 -0.104 0.079
-0.131 5.522 -0.255
0.155 -0.338 7.516
O Zn Ca Pa
8 1 1 2
Cartesian
1.922 1.269 3.630
1.970 4.039 0.044
1.894 3.811 3.711
3.758 1.388 5.556
0.058 3.692 1.785
3.757 1.011 1.668
1.846 1.040 7.296
0.059 4.069 5.672
0.000 0.000 0.000
0.078 -0.169 3.758
1.920 2.495 1.802
1.896 2.585 5.539

***

GGA-PBE AcHo2Zn, optimized geometry; formation energy from the elements = -0.06 eV/f.u.; relative energy among the computed polymorphs = 109 meV per atom; V = 125.2 Å³ per cell; D(E_F) = 4.5 states/eV/f.u.
1.0
-2.689 -0.493 -2.536
0.812 -1.519 -3.307
-2.543 -10.129 1.926
Ac Ho Zn
1 2 1
Cartesian
-2.205 -6.049 -1.967
-2.161 -8.247 1.155
-1.009 -2.561 -1.174
-1.254 -1.356 -3.889

***

GGA-PBE CsCd2Cu2, optimized geometry; formation energy from the elements = 1.09 eV/f.u.; relative energy among the computed polymorphs = 0 meV per atom; V = 130.1 Å³ per cell; D(E_F) = 1.4 states/eV/f.u.
1.0
-1.993 4.069 -1.678
1.575 -1.060 -4.443
-4.949 -1.241 -4.086
Cs Cu Cd
1 2 2
Cartesian
0.000 0.000 0.000
-1.297 0.874 -3.296
-4.069 0.894 -6.911
-1.791 -0.399 -5.794
-3.575 2.166 -4.412

***

GGA-PBE Fe2PdW, optimized geometry; formation energy from the elements = 0.63 eV/f.u.; relative energy among the computed polymorphs = 47 meV per atom; V = 54.0 Å³ per cell; D(E_F) = 4.9 states/eV/f.u.
1.0
-1.924 0.305 -2.431
-2.438 0.056 1.938
0.417 5.537 0.365
Fe W Pd
2 1 1
Cartesian
0.112 1.482 0.098
0.305 4.056 0.268
-1.973 2.949 -0.064
-2.181 0.180 -0.246

***

GGA-PBE La5HoZn4, optimized geometry; formation energy from the elements = -2.37 eV/f.u.; V = 282.2 Å³ per cell; D(E_F) = 13.1 states/eV/f.u.
1.0
-2.992 0.245 -2.268
1.052 -3.171 -1.730
-10.728 -10.654 13.004
La Zn Ho
5 4 1
Cartesian
-4.319 -4.789 2.061
-8.349 -8.791 6.946
-10.352 -10.780 9.374
-2.316 -2.800 -0.367
-6.334 -6.790 4.503
-8.400 -8.342 10.182
-6.369 -6.325 7.720
-2.328 -2.312 2.822
-4.359 -4.329 5.284
0.000 0.000 0.000

***

GGA-PBE ScPaBi, optimized geometry; formation energy from the elements = -0.89 eV/f.u.; relative energy among the computed polymorphs = 0 meV per atom; V = 299.0 Å³ per cell; D(E_F) = 4.0 states/eV/f.u.
1.0
-4.403 -1.831 3.953
-0.442 -4.568 -2.608
6.385 -3.699 5.399
Sc Pa Bi
4 4 4
Cartesian
-3.103 -5.108 1.458
1.230 -5.427 1.283
4.643 -4.990 5.287
0.311 -4.671 5.462
4.457 -6.201 2.093
1.486 -2.067 0.698
2.256 -7.116 4.070
-0.716 -2.982 2.674
-0.974 -6.340 3.258
-0.899 -4.192 -0.517
2.439 -5.906 7.261
2.514 -3.759 3.486

***

GGA-PBE HgMoPb3, optimized geometry; formation energy from the elements = 6.26 eV/f.u.; relative energy among the computed polymorphs = 904 meV per atom; V = 183.1 Å³ per cell; D(E_F) = 1.8 states/eV/f.u.
1.0
5.678 0.000 0.000
0.000 5.678 0.000
0.000 0.000 5.678
Pb Mo Hg
3 1 1
Cartesian
0.000 2.839 0.000
0.000 0.000 2.839
2.839 0.000 0.000
2.839 2.839 2.839
0.000 0.000 0.000

***

GGA-PBE Cs5AuSe, optimized geometry; V = 929.2 Å³ per cell; E_form (uncorrected) = -0.531 eV/atom; D(E_F) = 3.9 states/eV/f.u.
1.0
-3.357 -1.059 -4.005
6.433 -7.596 -3.384
-8.203 -10.661 9.693
Cs Au Se
10 2 2
Cartesian
0.304 -4.397 -0.868
-0.809 -10.864 1.775
-4.236 -10.734 4.612
-9.267 -11.653 5.522
-2.862 -4.364 1.777
-2.265 -14.951 0.526
-0.891 -8.581 -2.309
4.140 -7.662 -3.219
-5.431 -14.918 3.171
-4.318 -8.451 0.528
-3.136 -3.077 -1.883
-1.991 -16.238 4.186
-4.157 -12.034 1.341
-0.970 -7.281 0.962

***

The records above yield E values of -7.86 -3.65 -1.96 -8.61 -3.67 -6.87 -3.20 -2.11 eV/atom, respectively.